Mn3IrW | PBE | optimized geometry

- Volume: 82.6 Å³ per cell
- Total magnetization: 0.03 μB per formula unit
- DFT formation energy: 187.6 kJ/mol of atoms
- SG: No. 221
- Offset from the most stable computed form: 2.7 kJ/mol of atoms

The structure in CIF format:
```
data_Mn3IrW
_chemical_formula_sum 'Mn3 Ir1 W1'
_space_group_name_H-M_alt 'P 1'
_space_group_IT_number 1
_cell_length_a 4.354
_cell_length_b 4.354
_cell_length_c 4.354
_cell_angle_alpha 90.00
_cell_angle_beta 90.00
_cell_angle_gamma 90.00
loop_
_space_group_symop_operation_xyz
'x,y,z'
loop_
_atom_site_label
_atom_site_fract_x
_atom_site_fract_y
_atom_site_fract_z
Ir1 0.500 0.500 0.500
Mn1 0.500 0.000 0.000
Mn2 0.000 0.500 0.000
Mn3 0.000 0.000 0.500
W1 0.000 0.000 0.000
```

Mn2IrW | PBE | optimized geometry

- Volume: 52.5 Å³ per cell
- Total magnetization: 0.00 μB per formula unit
- DFT formation energy: 0.4 kJ/mol of atoms
- SG: No. 99

The structure in CIF format:
```
data_Mn2IrW
_chemical_formula_sum 'Mn2 Ir1 W1'
_space_group_name_H-M_alt 'P 1'
_space_group_IT_number 1
_cell_length_a 2.732
_cell_length_b 2.732
_cell_length_c 7.031
_cell_angle_alpha 90.00
_cell_angle_beta 90.00
_cell_angle_gamma 90.00
loop_
_space_group_symop_operation_xyz
'x,y,z'
loop_
_atom_site_label
_atom_site_fract_x
_atom_site_fract_y
_atom_site_fract_z
Mn1 0.000 0.000 0.029
Mn2 0.500 0.500 0.218
Ir1 0.500 0.500 0.767
W1 0.000 0.000 0.486
```

Mn3IrW | PBE | optimized geometry

- Volume: 83.4 Å³ per cell
- Total magnetization: 0.01 μB per formula unit
- DFT formation energy: 185.0 kJ/mol of atoms
- SG: No. 221
- Offset from the most stable computed form: 0.0 kJ/mol of atoms

The structure in CIF format:
```
data_Mn3IrW
_chemical_formula_sum 'Mn3 Ir1 W1'
_space_group_name_H-M_alt 'P 1'
_space_group_IT_number 1
_cell_length_a 4.370
_cell_length_b 4.370
_cell_length_c 4.370
_cell_angle_alpha 90.00
_cell_angle_beta 90.00
_cell_angle_gamma 90.00
loop_
_space_group_symop_operation_xyz
'x,y,z'
loop_
_atom_site_label
_atom_site_fract_x
_atom_site_fract_y
_atom_site_fract_z
Mn1 0.000 0.500 0.000
Mn2 0.500 0.000 0.000
Mn3 0.000 0.000 0.500
Ir1 0.000 0.000 0.000
W1 0.500 0.500 0.500
```

Mn2IrW | PBE | optimized geometry

- Volume: 55.8 Å³ per cell
- Total magnetization: 5.02 μB per formula unit
- DFT formation energy: 1.5 kJ/mol of atoms
- SG: No. 123

The structure in CIF format:
```
data_Mn2IrW
_chemical_formula_sum 'Mn2 Ir1 W1'
_space_group_name_H-M_alt 'P 1'
_space_group_IT_number 1
_cell_length_a 3.077
_cell_length_b 3.077
_cell_length_c 5.899
_cell_angle_alpha 90.00
_cell_angle_beta 90.00
_cell_angle_gamma 90.00
loop_
_space_group_symop_operation_xyz
'x,y,z'
loop_
_atom_site_label
_atom_site_fract_x
_atom_site_fract_y
_atom_site_fract_z
W1 0.500 0.500 0.250
Mn1 0.000 0.000 0.493
Mn2 0.000 0.000 0.007
Ir1 0.500 0.500 0.750
```

MnIr6W | PBE | optimized geometry

- Volume: 116.0 Å³ per cell
- Total magnetization: 3.23 μB per formula unit
- DFT formation energy: -25.9 kJ/mol of atoms
- SG: No. 123

The structure in CIF format:
```
data_MnIr6W
_chemical_formula_sum 'Mn1 Ir6 W1'
_space_group_name_H-M_alt 'P 1'
_space_group_IT_number 1
_cell_length_a 3.869
_cell_length_b 5.476
_cell_length_c 5.476
_cell_angle_alpha 90.00
_cell_angle_beta 90.00
_cell_angle_gamma 90.00
loop_
_space_group_symop_operation_xyz
'x,y,z'
loop_
_atom_site_label
_atom_site_fract_x
_atom_site_fract_y
_atom_site_fract_z
Ir1 0.500 0.500 0.000
Ir2 0.000 0.249 0.751
Ir3 0.500 0.000 0.500
Ir4 0.000 0.750 0.750
Ir5 0.000 0.250 0.250
Ir6 0.000 0.751 0.249
W1 0.500 0.000 0.000
Mn1 0.500 0.500 0.500
```

Mn4IrW | PBE | optimized geometry

- Volume: 73.2 Å³ per cell
- Total magnetization: 1.22 μB per formula unit
- DFT formation energy: -7.5 kJ/mol of atoms
- SG: No. 216

The structure in CIF format:
```
data_Mn4IrW
_chemical_formula_sum 'Mn4 Ir1 W1'
_space_group_name_H-M_alt 'P 1'
_space_group_IT_number 1
_cell_length_a 4.695
_cell_length_b 4.695
_cell_length_c 4.695
_cell_angle_alpha 60.00
_cell_angle_beta 60.00
_cell_angle_gamma 60.00
loop_
_space_group_symop_operation_xyz
'x,y,z'
loop_
_atom_site_label
_atom_site_fract_x
_atom_site_fract_y
_atom_site_fract_z
Ir1 0.000 0.000 0.000
Mn1 0.627 0.119 0.627
Mn2 0.119 0.627 0.627
Mn3 0.627 0.627 0.119
Mn4 0.627 0.627 0.627
W1 0.250 0.250 0.250
```

Mn2IrW | PBE | optimized geometry

- Volume: 54.6 Å³ per cell
- Total magnetization: 0.10 μB per formula unit
- DFT formation energy: 0.3 kJ/mol of atoms
- SG: No. 8

The structure in CIF format:
```
data_Mn2IrW
_chemical_formula_sum 'Mn2 Ir1 W1'
_space_group_name_H-M_alt 'P 1'
_space_group_IT_number 1
_cell_length_a 4.664
_cell_length_b 4.664
_cell_length_c 4.588
_cell_angle_alpha 80.02
_cell_angle_beta 80.02
_cell_angle_gamma 33.80
loop_
_space_group_symop_operation_xyz
'x,y,z'
loop_
_atom_site_label
_atom_site_fract_x
_atom_site_fract_y
_atom_site_fract_z
Ir1 0.254 0.254 0.248
Mn1 0.001 0.001 0.987
Mn2 0.744 0.744 0.769
W1 0.500 0.500 0.496
```

Mn2IrW | PBE | optimized geometry

- Volume: 53.4 Å³ per cell
- Total magnetization: 2.53 μB per formula unit
- DFT formation energy: -8.7 kJ/mol of atoms
- SG: No. 123

The structure in CIF format:
```
data_Mn2IrW
_chemical_formula_sum 'Mn2 Ir1 W1'
_space_group_name_H-M_alt 'P 1'
_space_group_IT_number 1
_cell_length_a 3.696
_cell_length_b 3.802
_cell_length_c 3.802
_cell_angle_alpha 90.00
_cell_angle_beta 90.00
_cell_angle_gamma 90.00
loop_
_space_group_symop_operation_xyz
'x,y,z'
loop_
_atom_site_label
_atom_site_fract_x
_atom_site_fract_y
_atom_site_fract_z
Ir1 0.500 0.000 0.500
Mn1 0.000 0.000 0.000
Mn2 0.000 0.500 0.500
W1 0.500 0.500 0.000
```

Mn2IrW | PBE | optimized geometry

- Volume: 53.4 Å³ per cell
- Total magnetization: 2.11 μB per formula unit
- DFT formation energy: 3.0 kJ/mol of atoms
- SG: No. 65

The structure in CIF format:
```
data_Mn2IrW
_chemical_formula_sum 'Mn2 Ir1 W1'
_space_group_name_H-M_alt 'P 1'
_space_group_IT_number 1
_cell_length_a 4.548
_cell_length_b 4.548
_cell_length_c 2.705
_cell_angle_alpha 90.00
_cell_angle_beta 90.00
_cell_angle_gamma 107.26
loop_
_space_group_symop_operation_xyz
'x,y,z'
loop_
_atom_site_label
_atom_site_fract_x
_atom_site_fract_y
_atom_site_fract_z
Mn1 0.500 0.500 0.000
Mn2 0.000 0.000 0.000
W1 0.500 0.000 0.500
Ir1 0.000 0.500 0.500
```

Mn2IrW | PBE | optimized geometry

- Volume: 54.3 Å³ per cell
- Total magnetization: 0.53 μB per formula unit
- DFT formation energy: -10.2 kJ/mol of atoms
- SG: No. 119

The structure in CIF format:
```
data_Mn2IrW
_chemical_formula_sum 'Mn2 Ir1 W1'
_space_group_name_H-M_alt 'P 1'
_space_group_IT_number 1
_cell_length_a 4.675
_cell_length_b 4.675
_cell_length_c 4.674
_cell_angle_alpha 132.60
_cell_angle_beta 132.58
_cell_angle_gamma 69.31
loop_
_space_group_symop_operation_xyz
'x,y,z'
loop_
_atom_site_label
_atom_site_fract_x
_atom_site_fract_y
_atom_site_fract_z
Ir1 0.250 0.750 0.500
Mn1 0.000 0.000 0.000
Mn2 0.750 0.250 0.500
W1 0.500 0.500 0.000
```

Mn5Ir12W3 | PBE | optimized geometry

- Volume: 1438.3 Å³ per cell
- Total magnetization: 1.37 μB per formula unit
- DFT formation energy: 61.4 kJ/mol of atoms
- SG: No. 230

The structure in CIF format:
```
data_Mn5Ir12W3
_chemical_formula_sum 'Mn20 Ir48 W12'
_space_group_name_H-M_alt 'P 1'
_space_group_IT_number 1
_cell_length_a 12.317
_cell_length_b 12.317
_cell_length_c 12.317
_cell_angle_alpha 109.47
_cell_angle_beta 109.47
_cell_angle_gamma 109.47
loop_
_space_group_symop_operation_xyz
'x,y,z'
loop_
_atom_site_label
_atom_site_fract_x
_atom_site_fract_y
_atom_site_fract_z
Ir1 0.920 0.090 0.865
Ir2 0.225 0.555 0.635
Ir3 0.135 0.410 0.080
Ir4 0.170 0.080 0.945
Ir5 0.580 0.635 0.410
Ir6 0.555 0.330 0.920
Ir7 0.670 0.445 0.580
Ir8 0.865 0.590 0.920
Ir9 0.135 0.725 0.555
Ir10 0.775 0.330 0.910
Ir11 0.945 0.580 0.170
Ir12 0.910 0.830 0.775
Ir13 0.080 0.170 0.445
Ir14 0.725 0.135 0.055
Ir15 0.275 0.865 0.945
Ir16 0.830 0.910 0.275
Ir17 0.080 0.910 0.135
Ir18 0.590 0.725 0.670
Ir19 0.330 0.775 0.410
Ir20 0.635 0.055 0.225
Ir21 0.445 0.775 0.865
Ir22 0.920 0.830 0.555
Ir23 0.225 0.670 0.090
Ir24 0.945 0.365 0.275
Ir25 0.725 0.590 0.170
Ir26 0.330 0.555 0.420
Ir27 0.635 0.580 0.910
Ir28 0.410 0.275 0.330
Ir29 0.775 0.445 0.365
Ir30 0.590 0.865 0.420
Ir31 0.580 0.945 0.670
Ir32 0.410 0.135 0.580
Ir33 0.555 0.225 0.135
Ir34 0.670 0.225 0.590
Ir35 0.365 0.945 0.775
Ir36 0.865 0.275 0.445
Ir37 0.170 0.090 0.725
Ir38 0.090 0.170 0.225
Ir39 0.420 0.055 0.330
Ir40 0.090 0.920 0.365
Ir41 0.910 0.080 0.635
Ir42 0.275 0.410 0.830
Ir43 0.445 0.670 0.080
Ir44 0.830 0.920 0.055
Ir45 0.055 0.635 0.725
Ir46 0.365 0.420 0.090
Ir47 0.055 0.420 0.830
Ir48 0.420 0.365 0.590
Mn1 0.500 0.500 0.500
Mn2 0.750 0.625 0.375
Mn3 0.375 0.250 0.125
Mn4 0.875 0.625 0.750
Mn5 0.250 0.375 0.625
Mn6 0.500 0.000 0.000
Mn7 0.500 0.000 0.500
Mn8 0.375 0.125 0.750
Mn9 0.500 0.500 0.000
Mn10 0.000 0.000 0.500
Mn11 0.625 0.750 0.875
Mn12 0.875 0.250 0.625
Mn13 0.250 0.875 0.125
Mn14 0.000 0.500 0.500
Mn15 0.000 0.000 0.000
Mn16 0.625 0.875 0.250
Mn17 0.000 0.500 0.000
Mn18 0.125 0.750 0.375
Mn19 0.750 0.125 0.875
Mn20 0.125 0.375 0.250
W1 0.875 0.125 0.250
W2 0.250 0.625 0.875
W3 0.125 0.875 0.750
W4 0.875 0.750 0.125
W5 0.250 0.125 0.375
W6 0.750 0.875 0.625
W7 0.750 0.375 0.125
W8 0.375 0.750 0.625
W9 0.125 0.250 0.875
W10 0.625 0.250 0.375
W11 0.375 0.625 0.250
W12 0.625 0.375 0.750
```

MnIr6W5 | PBE | optimized geometry

- Volume: 179.0 Å³ per cell
- Total magnetization: 1.82 μB per formula unit
- DFT formation energy: -25.3 kJ/mol of atoms
- SG: No. 71

The structure in CIF format:
```
data_MnIr6W5
_chemical_formula_sum 'Mn1 Ir6 W5'
_space_group_name_H-M_alt 'P 1'
_space_group_IT_number 1
_cell_length_a 3.911
_cell_length_b 7.788
_cell_length_c 7.317
_cell_angle_alpha 122.16
_cell_angle_beta 105.50
_cell_angle_gamma 90.00
loop_
_space_group_symop_operation_xyz
'x,y,z'
loop_
_atom_site_label
_atom_site_fract_x
_atom_site_fract_y
_atom_site_fract_z
Mn1 0.000 0.000 0.000
W1 0.333 0.333 0.666
W2 0.665 0.165 0.330
W3 0.335 0.835 0.670
W4 0.000 0.500 0.000
W5 0.667 0.667 0.334
Ir1 0.166 0.918 0.332
Ir2 0.500 0.247 0.000
Ir3 0.500 0.753 0.000
Ir4 0.834 0.585 0.668
Ir5 0.834 0.082 0.668
Ir6 0.166 0.415 0.332
```